Record 1
# LiSmEu2, relaxed, DFT GGA-PBE
data_LiSmEu2
_cell_length_a 5.848
_cell_length_b 5.848
_cell_length_c 5.848
_cell_angle_alpha 60.00
_cell_angle_beta 60.00
_cell_angle_gamma 60.00
_symmetry_space_group_name_H-M 'P 1'
_symmetry_Int_Tables_number 1
_symmetry_space_group_name_Hall 'P 1'
loop_
_atom_site_label
_atom_site_type_symbol
_atom_site_fract_x
_atom_site_fract_y
_atom_site_fract_z
_atom_site_occupancy
Eu1 Eu 0.250 0.250 0.250 1
Sm1 Sm 0.000 0.000 0.000 1
Li1 Li 0.500 0.500 0.500 1
Eu2 Eu 0.750 0.750 0.750 1
# Magnetic moment (μB per formula unit): 14.9
# Symmetry: Fm-3m, No. 225
# Distance to the lowest polymorph of the same formula (meV/atom): 123

Record 2
# Tb3Ga5S12, relaxed, DFT GGA-PBE
data_Tb3Ga5S12
_cell_length_a 13.063
_cell_length_b 13.063
_cell_length_c 13.063
_cell_angle_alpha 109.47
_cell_angle_beta 109.47
_cell_angle_gamma 109.47
_symmetry_space_group_name_H-M 'P 1'
_symmetry_Int_Tables_number 1
_symmetry_space_group_name_Hall 'P 1'
loop_
_atom_site_label
_atom_site_type_symbol
_atom_site_fract_x
_atom_site_fract_y
_atom_site_fract_z
_atom_site_occupancy
S1 S 0.124 0.709 0.533 1
Tb1 Tb 0.125 0.875 0.750 1
Tb2 Tb 0.625 0.250 0.375 1
Ga1 Ga 0.875 0.625 0.750 1
S2 S 0.409 0.376 0.586 1
S3 S 0.086 0.177 0.209 1
S4 S 0.791 0.323 0.914 1
Ga2 Ga 0.750 0.125 0.875 1
S5 S 0.033 0.624 0.709 1
S6 S 0.209 0.533 0.624 1
S7 S 0.709 0.586 0.177 1
S8 S 0.409 0.033 0.323 1
S9 S 0.967 0.591 0.177 1
Ga3 Ga 0.625 0.875 0.250 1
S10 S 0.376 0.967 0.791 1
Ga4 Ga 0.875 0.250 0.625 1
Tb3 Tb 0.875 0.750 0.125 1
S11 S 0.624 0.591 0.914 1
S12 S 0.876 0.291 0.467 1
Ga5 Ga 0.625 0.750 0.875 1
S13 S 0.677 0.467 0.591 1
S14 S 0.033 0.409 0.823 1
Tb4 Tb 0.750 0.375 0.125 1
Ga6 Ga 0.250 0.375 0.625 1
S15 S 0.876 0.586 0.909 1
Tb5 Tb 0.375 0.750 0.625 1
Tb6 Tb 0.750 0.875 0.625 1
S16 S 0.823 0.909 0.033 1
S17 S 0.677 0.209 0.586 1
Ga7 Ga 0.500 0.000 0.500 1
S18 S 0.591 0.624 0.414 1
S19 S 0.914 0.091 0.624 1
Ga8 Ga 0.000 0.000 0.000 1
S20 S 0.909 0.823 0.533 1
Ga9 Ga 0.125 0.375 0.250 1
S21 S 0.414 0.291 0.323 1
Ga10 Ga 0.375 0.250 0.125 1
Ga11 Ga 0.750 0.625 0.375 1
Tb7 Tb 0.250 0.625 0.875 1
S22 S 0.323 0.533 0.409 1
S23 S 0.086 0.909 0.376 1
S24 S 0.823 0.914 0.291 1
S25 S 0.624 0.033 0.209 1
S26 S 0.291 0.876 0.967 1
S27 S 0.709 0.124 0.033 1
S28 S 0.467 0.791 0.876 1
S29 S 0.533 0.323 0.909 1
S30 S 0.209 0.677 0.086 1
S31 S 0.914 0.823 0.791 1
Tb8 Tb 0.125 0.250 0.875 1
S32 S 0.323 0.791 0.414 1
S33 S 0.414 0.124 0.591 1
Ga12 Ga 0.500 0.000 0.000 1
Ga13 Ga 0.375 0.125 0.750 1
Ga14 Ga 0.000 0.500 0.500 1
Ga15 Ga 0.500 0.500 0.000 1
S34 S 0.909 0.086 0.876 1
S35 S 0.967 0.376 0.291 1
S36 S 0.591 0.967 0.677 1
Ga16 Ga 0.000 0.000 0.500 1
S37 S 0.376 0.409 0.086 1
Ga17 Ga 0.500 0.500 0.500 1
S38 S 0.467 0.677 0.091 1
Tb9 Tb 0.625 0.375 0.750 1
S39 S 0.791 0.467 0.376 1
S40 S 0.091 0.914 0.124 1
Ga18 Ga 0.000 0.500 0.000 1
S41 S 0.124 0.414 0.091 1
S42 S 0.091 0.177 0.467 1
S43 S 0.533 0.209 0.124 1
S44 S 0.586 0.709 0.677 1
S45 S 0.586 0.876 0.409 1
S46 S 0.291 0.414 0.823 1
Tb10 Tb 0.875 0.125 0.250 1
S47 S 0.177 0.091 0.967 1
Ga19 Ga 0.250 0.875 0.125 1
Tb11 Tb 0.250 0.125 0.375 1
Tb12 Tb 0.375 0.625 0.250 1
S48 S 0.177 0.086 0.709 1
Ga20 Ga 0.125 0.750 0.375 1
# Magnetic moment (μB per formula unit): 0.0
# Symmetry: Ia-3d, No. 230
# Formation energy from raw total energies (eV/f.u.): -23.2

Record 3
# YAlCr, relaxed, DFT GGA-PBE
data_YAlCr
_cell_length_a 4.039
_cell_length_b 4.039
_cell_length_c 26.819
_cell_angle_alpha 90.00
_cell_angle_beta 90.00
_cell_angle_gamma 120.00
_symmetry_space_group_name_H-M 'P 1'
_symmetry_Int_Tables_number 1
_symmetry_space_group_name_Hall 'P 1'
loop_
_atom_site_label
_atom_site_type_symbol
_atom_site_fract_x
_atom_site_fract_y
_atom_site_fract_z
_atom_site_occupancy
Y1 Y 0.000 0.000 0.218 1
Al1 Al 0.000 0.000 0.048 1
Y2 Y 0.667 0.333 0.551 1
Al2 Al 0.333 0.667 0.619 1
Al3 Al 0.333 0.667 0.714 1
Cr1 Cr 0.333 0.667 0.006 1
Y3 Y 0.000 0.000 0.782 1
Y4 Y 0.333 0.667 0.449 1
Al4 Al 0.000 0.000 0.952 1
Cr2 Cr 0.667 0.333 0.673 1
Cr3 Cr 0.000 0.000 0.660 1
Al5 Al 0.667 0.333 0.286 1
Cr4 Cr 0.333 0.667 0.327 1
Y5 Y 0.333 0.667 0.885 1
Cr5 Cr 0.000 0.000 0.340 1
Y6 Y 0.667 0.333 0.115 1
Al6 Al 0.667 0.333 0.381 1
Cr6 Cr 0.667 0.333 0.994 1
# Magnetic moment (μB per formula unit): 0.0
# Symmetry: R-3m, No. 166
# VASP energy (eV/atom): -6.674

Record 4
# NaIrRu, relaxed, DFT GGA-PBE
data_NaIrRu
_cell_length_a 4.223
_cell_length_b 4.223
_cell_length_c 4.223
_cell_angle_alpha 60.00
_cell_angle_beta 60.00
_cell_angle_gamma 60.00
_symmetry_space_group_name_H-M 'P 1'
_symmetry_Int_Tables_number 1
_symmetry_space_group_name_Hall 'P 1'
loop_
_atom_site_label
_atom_site_type_symbol
_atom_site_fract_x
_atom_site_fract_y
_atom_site_fract_z
_atom_site_occupancy
Na1 Na 0.250 0.250 0.250 1
Ru1 Ru 0.000 0.000 0.000 1
Ir1 Ir 0.750 0.750 0.750 1
# Magnetic moment (μB per formula unit): 0.0
# Symmetry: F-43m, No. 216
# Distance to the lowest polymorph of the same formula (meV/atom): 542

Record 5
# Cs2HSeCl6, relaxed, DFT GGA-PBE
data_Cs2HSeCl6
_cell_length_a 6.945
_cell_length_b 6.945
_cell_length_c 7.526
_cell_angle_alpha 62.52
_cell_angle_beta 62.52
_cell_angle_gamma 90.00
_symmetry_space_group_name_H-M 'P 1'
_symmetry_Int_Tables_number 1
_symmetry_space_group_name_Hall 'P 1'
loop_
_atom_site_label
_atom_site_type_symbol
_atom_site_fract_x
_atom_site_fract_y
_atom_site_fract_z
_atom_site_occupancy
Cl1 Cl 0.741 0.259 0.000 1
Cl2 Cl 0.259 0.741 0.000 1
Cl3 Cl 0.741 0.741 0.000 1
Se1 Se 0.000 0.000 0.000 1
Cl4 Cl 0.259 0.259 0.000 1
Cl5 Cl 0.213 0.213 0.575 1
Cs1 Cs 0.250 0.750 0.500 1
Cl6 Cl 0.787 0.787 0.425 1
H1 H 0.500 0.500 0.000 1
Cs2 Cs 0.750 0.250 0.500 1
# Magnetic moment (μB per formula unit): 0.0
# Symmetry: I4/mmm, No. 139
# VASP energy (eV/atom): -2.766

Record 6
# SiBW, relaxed, DFT GGA-PBE
data_SiBW
_cell_length_a 4.299
_cell_length_b 4.299
_cell_length_c 4.985
_cell_angle_alpha 97.44
_cell_angle_beta 116.09
_cell_angle_gamma 109.87
_symmetry_space_group_name_H-M 'P 1'
_symmetry_Int_Tables_number 1
_symmetry_space_group_name_Hall 'P 1'
loop_
_atom_site_label
_atom_site_type_symbol
_atom_site_fract_x
_atom_site_fract_y
_atom_site_fract_z
_atom_site_occupancy
W1 W 0.785 0.367 0.152 1
B1 B 0.828 0.001 0.829 1
W2 W 0.215 0.633 0.848 1
B2 B 0.172 0.999 0.171 1
Si1 Si 0.500 0.500 0.500 1
Si2 Si 0.000 0.000 0.500 1
# Magnetic moment (μB per formula unit): 0.0
# Symmetry: C2/m, No. 12
# Formation energy from raw total energies (eV/f.u.): 1.0

Record 7
# ErSbIrPd, relaxed, DFT GGA-PBE
data_ErSbIrPd
_cell_length_a 4.759
_cell_length_b 4.759
_cell_length_c 4.759
_cell_angle_alpha 60.00
_cell_angle_beta 60.00
_cell_angle_gamma 60.00
_symmetry_space_group_name_H-M 'P 1'
_symmetry_Int_Tables_number 1
_symmetry_space_group_name_Hall 'P 1'
loop_
_atom_site_label
_atom_site_type_symbol
_atom_site_fract_x
_atom_site_fract_y
_atom_site_fract_z
_atom_site_occupancy
Ir1 Ir 0.000 0.000 0.000 1
Pd1 Pd 0.500 0.500 0.500 1
Er1 Er 0.750 0.750 0.750 1
Sb1 Sb 0.250 0.250 0.250 1
# Magnetic moment (μB per formula unit): 0.0
# Symmetry: F-43m, No. 216
# Formation energy from raw total energies (eV/f.u.): -2.6

Record 8
# YSb2As, relaxed, DFT GGA-PBE
data_YSb2As
_cell_length_a 4.234
_cell_length_b 4.234
_cell_length_c 6.337
_cell_angle_alpha 90.00
_cell_angle_beta 90.00
_cell_angle_gamma 90.00
_symmetry_space_group_name_H-M 'P 1'
_symmetry_Int_Tables_number 1
_symmetry_space_group_name_Hall 'P 1'
loop_
_atom_site_label
_atom_site_type_symbol
_atom_site_fract_x
_atom_site_fract_y
_atom_site_fract_z
_atom_site_occupancy
Y1 Y 0.000 0.000 0.588 1
As1 As 0.500 0.500 0.622 1
Sb1 Sb 0.000 0.000 0.094 1
Sb2 Sb 0.500 0.500 0.196 1
# Magnetic moment (μB per formula unit): 0.0
# Symmetry: P4mm, No. 99
# Formation energy from raw total energies (eV/f.u.): -2.4

Record 9
# TlP2Ru, relaxed, DFT GGA-PBE
data_TlP2Ru
_cell_length_a 4.410
_cell_length_b 4.410
_cell_length_c 6.532
_cell_angle_alpha 77.08
_cell_angle_beta 77.08
_cell_angle_gamma 41.19
_symmetry_space_group_name_H-M 'P 1'
_symmetry_Int_Tables_number 1
_symmetry_space_group_name_Hall 'P 1'
loop_
_atom_site_label
_atom_site_type_symbol
_atom_site_fract_x
_atom_site_fract_y
_atom_site_fract_z
_atom_site_occupancy
P1 P 0.829 0.829 0.671 1
Tl1 Tl 0.169 0.169 0.248 1
Ru1 Ru 0.550 0.550 0.649 1
P2 P 0.953 0.953 0.932 1
# Magnetic moment (μB per formula unit): 0.0
# Symmetry: Cm, No. 8
# Distance to the lowest polymorph of the same formula (meV/atom): 0

Record 10
# BaZr2Se, relaxed, DFT GGA-PBE
data_BaZr2Se
_cell_length_a 4.497
_cell_length_b 4.497
_cell_length_c 5.076
_cell_angle_alpha 90.00
_cell_angle_beta 90.00
_cell_angle_gamma 90.02
_symmetry_space_group_name_H-M 'P 1'
_symmetry_Int_Tables_number 1
_symmetry_space_group_name_Hall 'P 1'
loop_
_atom_site_label
_atom_site_type_symbol
_atom_site_fract_x
_atom_site_fract_y
_atom_site_fract_z
_atom_site_occupancy
Zr1 Zr 0.000 0.000 0.000 1
Zr2 Zr 0.500 0.500 0.000 1
Se1 Se 0.000 0.500 0.500 1
Ba1 Ba 0.500 0.000 0.500 1
# Magnetic moment (μB per formula unit): 0.0
# Symmetry: P4/mmm, No. 123
# Formation energy from raw total energies (eV/f.u.): 0.5

Record 11
# Ac4SnAsSe2, relaxed, DFT GGA-PBE
data_Ac4SnAsSe2
_cell_length_a 4.622
_cell_length_b 7.913
_cell_length_c 7.994
_cell_angle_alpha 70.24
_cell_angle_beta 90.00
_cell_angle_gamma 90.00
_symmetry_space_group_name_H-M 'P 1'
_symmetry_Int_Tables_number 1
_symmetry_space_group_name_Hall 'P 1'
loop_
_atom_site_label
_atom_site_type_symbol
_atom_site_fract_x
_atom_site_fract_y
_atom_site_fract_z
_atom_site_occupancy
Ac1 Ac 0.000 0.251 0.255 1
Se1 Se 0.000 0.000 0.000 1
Ac2 Ac 0.500 0.256 0.743 1
Se2 Se 0.500 0.000 0.500 1
Sn1 Sn 0.500 0.500 0.000 1
Ac3 Ac 0.500 0.744 0.257 1
Ac4 Ac 0.000 0.749 0.745 1
As1 As 0.000 0.500 0.500 1
# Magnetic moment (μB per formula unit): 0.0
# Symmetry: P2/m, No. 10
# Formation energy from raw total energies (eV/f.u.): -12.0

Record 12
# CaFeI3, relaxed, DFT GGA-PBE
data_CaFeI3
_cell_length_a 5.513
_cell_length_b 5.513
_cell_length_c 5.513
_cell_angle_alpha 90.00
_cell_angle_beta 90.00
_cell_angle_gamma 90.00
_symmetry_space_group_name_H-M 'P 1'
_symmetry_Int_Tables_number 1
_symmetry_space_group_name_Hall 'P 1'
loop_
_atom_site_label
_atom_site_type_symbol
_atom_site_fract_x
_atom_site_fract_y
_atom_site_fract_z
_atom_site_occupancy
I1 I 0.500 0.000 0.000 1
I2 I 0.000 0.500 0.000 1
I3 I 0.000 0.000 0.500 1
Ca1 Ca 0.500 0.500 0.500 1
Fe1 Fe 0.000 0.000 0.000 1
# Magnetic moment (μB per formula unit): 3.2
# Symmetry: Pm-3m, No. 221
# Distance to the lowest polymorph of the same formula (meV/atom): 0
# Formation energy from raw total energies (eV/f.u.): -1.6

Among the records above, which one has the highest magnetic moment?
LiSmEu2